VASP calculation (PBE-GGA) on a geometry-optimized InTe2PN structure.

Unit cell a=6.0338 b=6.0338 c=3.2402 alpha=90.00 beta=90.00 gamma=90.00
Closest atoms and distances in Å follow each position.
Positions (direct):
In: 0.0000 0.0000 0.0000  2 In 3.24, 8 Te 3.42
Te: 0.0000 0.5000 0.5000  2 P 3.02, 2 Te 3.24
Te: 0.5000 0.0000 0.5000  2 P 3.02, 2 Te 3.24
P: 0.5000 0.5000 0.5000  2 N 1.62
N: 0.5000 0.5000 0.0000  2 P 1.62

Calculated values
* total magnetization: 0.0000 μB per atom
* E: -4.1802 eV per atom
* V: 118.0 Å³ per cell
* formation energy without anion corrections: 0.37 eV per atom
* mass density: 5842 kg/m³



VASP calculation (PBE-GGA) on a geometry-optimized TiAl4Ni structure.

Unit cell a=3.9674 b=3.9674 c=6.7631 alpha=90.00 beta=90.00 gamma=90.00
Closest atoms and distances in Å follow each position.
Positions (direct):
Ti: 0.0000 0.0000 0.0000  8 Al 2.78
Al: 0.0000 0.5000 0.2875  2 Ni 2.45
Al: 0.0000 0.5000 0.7125  2 Ni 2.45
Al: 0.5000 0.0000 0.2875  2 Ni 2.45
Al: 0.5000 0.0000 0.7125  2 Ni 2.45
Ni: 0.5000 0.5000 0.5000  8 Al 2.45

Calculated values
* total magnetization: 0.0002 μB per atom
* E: -4.8766 eV per atom
* V: 106.5 Å³ per cell
* mass density: 3346 kg/m³